Below is crystalline CeTmAu3 at its relaxed geometry, with properties calculated at the PBE level.

```
CeTmAu3
1.0
1.787 -14.073 0.000
1.787 14.073 0.000
0.000 0.000 4.638
Ce Tm Au
2 2 6
direct
0.074 0.926 0.750
0.926 0.074 0.250
0.208 0.792 0.250
0.792 0.208 0.750
0.314 0.686 0.250
0.376 0.624 0.750
0.474 0.526 0.750
0.526 0.474 0.250
0.624 0.376 0.250
0.686 0.314 0.750
```

SG: Cmcm

---

Below is crystalline Be2In4Te at its relaxed geometry, with properties calculated at the PBE level.

```
Be2In4Te
1.0
5.711 0.000 0.000
0.000 5.711 0.000
0.000 0.000 12.845
Be In Te
4 8 2
direct
0.000 0.000 0.077
0.000 0.000 0.923
0.500 0.500 0.423
0.500 0.500 0.577
0.000 0.000 0.266
0.000 0.000 0.734
0.000 0.500 0.000
0.000 0.500 0.500
0.500 0.000 0.000
0.500 0.000 0.500
0.500 0.500 0.234
0.500 0.500 0.766
0.000 0.000 0.500
0.500 0.500 0.000
```

SG: I4/mmm
energy relative to the elements, uncorrected: 0.6470 eV/atom

---

Below is crystalline Mn2V3Re at its relaxed geometry, with properties calculated at the PBE level.

```
Mn2V3Re
1.0
2.939 0.000 0.000
0.000 2.939 0.000
0.000 0.000 8.804
Mn V Re
2 3 1
direct
0.000 0.000 0.162
0.000 0.000 0.838
0.500 0.500 0.000
0.500 0.500 0.323
0.500 0.500 0.677
0.000 0.000 0.500
```

SG: P4/mmm

---

Below is crystalline PmH5 at its relaxed geometry, with properties calculated at the PBE level.

```
PmH5
1.0
3.404 0.000 0.000
0.000 7.503 0.000
0.000 0.000 3.429
Pm H
2 10
direct
0.000 0.000 0.000
0.500 0.500 0.000
0.000 0.251 0.500
0.000 0.302 0.000
0.000 0.500 0.500
0.000 0.698 0.000
0.000 0.749 0.500
0.500 0.000 0.500
0.500 0.198 0.000
0.500 0.249 0.500
0.500 0.751 0.500
0.500 0.802 0.000
```

SG: Cmmm

---

Below is crystalline ZrAlOsRh at its relaxed geometry, with properties calculated at the PBE level.

```
ZrAlOsRh
1.0
6.333 0.000 0.000
0.000 6.333 0.000
0.000 0.000 6.333
Zr Al Os Rh
4 4 4 4
direct
0.000 0.000 0.000
0.000 0.500 0.500
0.500 0.000 0.500
0.500 0.500 0.000
0.000 0.000 0.500
0.000 0.500 0.000
0.500 0.000 0.000
0.500 0.500 0.500
0.250 0.250 0.250
0.250 0.750 0.750
0.750 0.250 0.750
0.750 0.750 0.250
0.250 0.250 0.750
0.250 0.750 0.250
0.750 0.250 0.250
0.750 0.750 0.750
```

SG: F-43m

---

Below is crystalline ScNiOs2 at its relaxed geometry, with properties calculated at the PBE level.

```
ScNiOs2
1.0
3.801 0.000 0.000
0.000 3.801 0.000
0.000 0.000 8.228
Sc Ni Os
2 2 4
direct
0.000 0.000 0.000
0.500 0.500 0.500
0.000 0.000 0.500
0.500 0.500 0.000
0.000 0.500 0.250
0.000 0.500 0.750
0.500 0.000 0.250
0.500 0.000 0.750
```

E above lowest polymorph: 167.8 meV/atom
SG: I4/mmm

---

Below is crystalline Y5Cu4Ru at its relaxed geometry, with properties calculated at the PBE level.

```
Y5Cu4Ru
1.0
3.456 0.000 0.000
0.000 3.456 0.000
0.000 0.000 17.486
Y Cu Ru
5 4 1
direct
0.000 0.000 0.000
0.000 0.000 0.202
0.000 0.000 0.404
0.000 0.000 0.596
0.000 0.000 0.798
0.500 0.500 0.100
0.500 0.500 0.301
0.500 0.500 0.699
0.500 0.500 0.900
0.500 0.500 0.500
```

SG: P4/mmm

---

Below is crystalline LaZnCu2 at its relaxed geometry, with properties calculated at the PBE level.

```
LaZnCu2
1.0
3.258 0.000 0.000
0.000 3.258 0.000
0.000 0.000 6.911
La Zn Cu
1 1 2
direct
0.000 0.000 0.000
0.500 0.500 0.337
0.000 0.000 0.523
0.500 0.500 0.697
```

SG: P4mm

---

Below is crystalline Cu2SiBr at its relaxed geometry, with properties calculated at the PBE level.

```
Cu2SiBr
1.0
3.205 0.000 0.000
0.000 3.276 0.000
0.000 0.000 6.574
Cu Si Br
2 1 1
direct
0.000 0.000 0.187
0.000 0.000 0.813
0.500 0.500 0.000
0.500 0.000 0.500
```

E above lowest polymorph: 282.5 meV/atom
SG: Pmmm
energy relative to the elements, uncorrected: 0.2073 eV/atom

---

Below is crystalline Pm3Rh2 at its relaxed geometry, with properties calculated at the PBE level.

```
Pm3Rh2
1.0
11.228 0.000 0.000
0.000 4.069 0.000
0.000 0.000 11.245
Pm Rh
12 8
direct
0.050 0.250 0.129
0.115 0.750 0.564
0.221 0.250 0.811
0.279 0.750 0.311
0.385 0.250 0.064
0.450 0.750 0.629
0.550 0.250 0.371
0.615 0.750 0.936
0.721 0.250 0.689
0.779 0.750 0.189
0.885 0.250 0.436
0.950 0.750 0.871
0.011 0.750 0.313
0.187 0.750 0.998
0.313 0.250 0.498
0.489 0.250 0.813
0.511 0.750 0.187
0.687 0.750 0.502
0.813 0.250 0.002
0.989 0.250 0.687
```

E above lowest polymorph: 0.0 meV/atom
SG: Pnma

---

Below is crystalline Cr3Fe3SiAs2 at its relaxed geometry, with properties calculated at the PBE level.

```
Cr3Fe3SiAs2
1.0
5.969 0.000 0.000
-2.984 5.169 0.000
0.000 0.000 3.668
Cr Fe Si As
3 3 1 2
direct
0.000 0.586 0.000
0.414 0.414 0.000
0.586 0.000 0.000
0.000 0.241 0.500
0.241 0.000 0.500
0.759 0.759 0.500
0.000 0.000 0.000
0.333 0.667 0.500
0.667 0.333 0.500
```

SG: P-62m
energy relative to the elements, uncorrected: -0.1797 eV/atom

---

Below is crystalline Li2SmPd2 at its relaxed geometry, with properties calculated at the PBE level.

```
Li2SmPd2
1.0
3.849 0.000 0.000
0.000 3.849 0.000
0.000 0.000 12.783
Li Sm Pd
4 2 4
direct
0.000 0.500 0.250
0.000 0.500 0.750
0.500 0.000 0.250
0.500 0.000 0.750
0.000 0.000 0.000
0.500 0.500 0.500
0.000 0.000 0.393
0.000 0.000 0.607
0.500 0.500 0.107
0.500 0.500 0.893
```

SG: I4/mmm

---

Below is crystalline Ac2ErAl at its relaxed geometry, with properties calculated at the PBE level.

```
Ac2ErAl
1.0
3.723 0.000 0.000
-1.862 3.224 0.000
0.000 0.000 36.655
Ac Er Al
6 3 3
direct
0.000 0.000 0.099
0.000 0.000 0.901
0.333 0.667 0.568
0.333 0.667 0.765
0.667 0.333 0.235
0.667 0.333 0.432
0.000 0.000 0.000
0.333 0.667 0.667
0.667 0.333 0.333
0.000 0.000 0.500
0.333 0.667 0.167
0.667 0.333 0.833
```

E above lowest polymorph: 313.3 meV/atom
SG: R-3m

---

Below is crystalline LiSbH3 at its relaxed geometry, with properties calculated at the PBE level.

```
LiSbH3
1.0
9.198 0.000 0.000
0.000 3.275 0.000
-3.615 0.000 4.634
Li Sb H
2 2 6
direct
0.000 0.000 0.000
0.500 0.500 0.000
0.396 0.500 0.407
0.896 0.000 0.407
0.153 0.500 0.223
0.309 0.000 0.883
0.314 0.000 0.756
0.653 0.000 0.223
0.809 0.500 0.883
0.814 0.500 0.756
```

E above lowest polymorph: 53.5 meV/atom
SG: Cm

---

Below is crystalline LaRe at its relaxed geometry, with properties calculated at the PBE level.

```
LaRe
1.0
12.169 0.000 0.000
0.000 3.682 0.000
-2.075 0.000 4.587
La Re
4 4
direct
0.106 0.000 0.356
0.394 0.500 0.644
0.606 0.500 0.356
0.894 0.000 0.644
0.181 0.500 0.932
0.319 0.000 0.068
0.681 0.000 0.932
0.819 0.500 0.068
```

E above lowest polymorph: 146.3 meV/atom
SG: C2/m

---

Below is crystalline CeTe2Pt at its relaxed geometry, with properties calculated at the PBE level.

```
CeTe2Pt
1.0
3.936 0.000 0.000
-1.968 3.409 0.000
0.000 0.000 27.764
Ce Te Pt
3 6 3
direct
0.000 0.000 0.000
0.333 0.667 0.667
0.667 0.333 0.333
0.000 0.000 0.113
0.000 0.000 0.887
0.333 0.667 0.553
0.333 0.667 0.780
0.667 0.333 0.220
0.667 0.333 0.447
0.000 0.000 0.500
0.333 0.667 0.167
0.667 0.333 0.833
```

SG: R-3m
energy relative to the elements, uncorrected: -0.1990 eV/atom

---

Below is crystalline Zn2TeAs at its relaxed geometry, with properties calculated at the PBE level.

```
Zn2TeAs
1.0
3.877 0.000 0.000
0.000 3.897 0.000
0.000 0.000 5.722
Zn Te As
2 1 1
direct
0.000 0.000 0.000
0.000 0.500 0.500
0.500 0.000 0.500
0.500 0.500 0.000
```

E above lowest polymorph: 395.2 meV/atom
SG: Pmmm
energy relative to the elements, uncorrected: 0.2171 eV/atom

---

Below is crystalline Ba4PtBrCl2 at its relaxed geometry, with properties calculated at the PBE level.

```
Ba4PtBrCl2
1.0
8.135 0.000 0.000
0.000 4.517 0.000
-2.448 0.000 8.069
Ba Pt Br Cl
4 1 1 2
direct
0.227 0.000 0.219
0.245 0.500 0.772
0.755 0.500 0.228
0.773 0.000 0.781
0.000 0.500 0.000
0.000 0.000 0.500
0.500 0.000 0.000
0.500 0.500 0.500
```

SG: P2/m
energy relative to the elements, uncorrected: -1.5128 eV/atom

---

Below is crystalline KMgSc2 at its relaxed geometry, with properties calculated at the PBE level.

```
KMgSc2
1.0
3.561 0.000 0.000
0.000 3.561 0.000
0.000 0.000 9.905
K Mg Sc
1 1 2
direct
0.000 0.000 0.000
0.000 0.000 0.500
0.500 0.500 0.329
0.500 0.500 0.671
```

SG: P4/mmm

---

Below is crystalline Pr2PdBr at its relaxed geometry, with properties calculated at the PBE level.

```
Pr2PdBr
1.0
4.253 0.000 0.000
-2.127 3.683 0.000
0.000 0.000 23.403
Pr Pd Br
6 3 3
direct
0.000 0.000 0.234
0.000 0.000 0.766
0.333 0.667 0.433
0.333 0.667 0.900
0.667 0.333 0.100
0.667 0.333 0.567
0.000 0.000 0.500
0.333 0.667 0.167
0.667 0.333 0.833
0.000 0.000 0.000
0.333 0.667 0.667
0.667 0.333 0.333
```

E above lowest polymorph: 0.0 meV/atom
SG: R-3m
energy relative to the elements, uncorrected: -0.9876 eV/atom

---

Number 1: DOS(E_F) 18.48 states/eV/cell, total magnetization 0.1920 μB per atom, electronic total energy -48.13 eV for the cell shown. Number 2: DOS(E_F) 8.50 states/eV/cell, total magnetization 0.0000 μB per atom, electronic total energy -34.04 eV for the cell shown. Number 3: DOS(E_F) 3.05 states/eV/cell, total magnetization 0.0000 μB per atom, electronic total energy -59.78 eV for the cell shown. Number 4: DOS(E_F) 1.08 states/eV/cell, total magnetization 0.0000 μB per atom, electronic total energy -40.48 eV for the cell shown. Number 5: DOS(E_F) 2.97 states/eV/cell, total magnetization 0.0000 μB per atom, electronic total energy -135.15 eV for the cell shown. Number 6: DOS(E_F) 11.62 states/eV/cell, total magnetization 0.0000 μB per atom, electronic total energy -68.50 eV for the cell shown. Number 7: DOS(E_F) 5.01 states/eV/cell, total magnetization 0.0000 μB per atom, electronic total energy -60.75 eV for the cell shown. Number 8: DOS(E_F) 2.52 states/eV/cell, total magnetization 0.0000 μB per atom, electronic total energy -14.64 eV for the cell shown. Number 9: DOS(E_F) 1.30 states/eV/cell, total magnetization 0.0000 μB per atom, electronic total energy -14.46 eV for the cell shown. Number 10: DOS(E_F) 13.38 states/eV/cell, total magnetization 0.0000 μB per atom, electronic total energy -128.03 eV for the cell shown. Number 11: DOS(E_F) 7.16 states/eV/cell, total magnetization 0.5798 μB per atom, electronic total energy -70.60 eV for the cell shown. Number 12: DOS(E_F) 5.03 states/eV/cell, total magnetization 0.0000 μB per atom, electronic total energy -43.31 eV for the cell shown. Number 13: DOS(E_F) 18.29 states/eV/cell, total magnetization 0.0017 μB per atom, electronic total energy -46.33 eV for the cell shown. Number 14: DOS(E_F) 3.56 states/eV/cell, total magnetization 0.0000 μB per atom, electronic total energy -32.29 eV for the cell shown. Number 15: DOS(E_F) 9.24 states/eV/cell, total magnetization 0.0000 μB per atom, electronic total energy -67.12 eV for the cell shown. Number 16: DOS(E_F) 24.08 states/eV/cell, total magnetization 0.3222 μB per atom, electronic total energy -57.16 eV for the cell shown. Number 17: DOS(E_F) 1.59 states/eV/cell, total magnetization 0.0000 μB per atom, electronic total energy -9.47 eV for the cell shown. Number 18: DOS(E_F) 6.80 states/eV/cell, total magnetization 0.0810 μB per atom, electronic total energy -31.20 eV for the cell shown. Number 19: DOS(E_F) 4.77 states/eV/cell, total magnetization 0.0003 μB per atom, electronic total energy -14.01 eV for the cell shown. Number 20: DOS(E_F) 10.51 states/eV/cell, total magnetization 0.0000 μB per atom, electronic total energy -61.12 eV for the cell shown.